(1)
## CuTcBr2 (PBE-GGA)

Data for a relaxed structure of CuTcBr2.

Cell: 7.9510 7.9510 7.9510 Å, 153.65 152.57 38.40°
Each line ends with the local moment (μB).
Element x y z (fractional)
1 Br 0.7446 0.2446 0.5000  0.14
2 Br 0.9846 0.9846 0.0000  0.06
3 Cu 0.4456 0.4456 0.0000  0.11
4 Tc 0.3252 0.8252 0.5000  3.23

Values from the calculation:
As for the density of states at the Fermi level: 1.66 states/eV/f.u. As for the crystal system: orthorhombic. The calculation puts the energy relative to the elements, uncorrected at 0.46 eV/atom. The value obtained for the energy above the lowest structure with this stoichiometry is 204 meV per atom. The density is 5.20 g/cm³.

---

(2)
## CuTcBr2 (PBE-GGA)

Data for a relaxed structure of CuTcBr2.

Cell: 3.2443 3.2443 7.7419 Å, 90.00 90.00 90.00°
Element x y z (fractional)
1 Tc 0.5000 0.5000 0.7167
2 Br 0.0000 0.0000 0.9026
3 Br 0.5000 0.5000 0.3546
4 Cu 0.0000 0.0000 0.5261

Values from the calculation:
As for the density of states at the Fermi level: 2.65 states/eV/f.u. As for the crystal system: tetragonal. The calculation puts the energy relative to the elements, uncorrected at 0.41 eV/atom. The value obtained for the energy above the lowest structure with this stoichiometry is 158 meV per atom. The density is 6.55 g/cm³.